i | Tb2Sm3Tl2: relaxed, PBE-GGA.

Cell lengths 12.348, 12.348, 3.535 Å; angles 90.00, 90.00, 156.90 degrees
Positions (direct):
1 Tb 0.213 0.787 0.000
2 Tb 0.787 0.213 0.000
3 Sm 0.357 0.643 0.500
4 Sm 0.500 0.500 0.500
5 Sm 0.643 0.357 0.500
6 Tl 0.073 0.927 0.000
7 Tl 0.927 0.073 0.000

Calculated values
Its space group is No. 65. For the calculated volume, the calculation gives 30.2 Å³/atom.

ii | Tb2Sm3Tl2: relaxed, PBE-GGA.

Cell lengths 5.479, 5.479, 8.742 Å; angles 108.34, 108.34, 60.06 degrees
Positions (direct):
1 Tb 0.075 0.075 0.225
2 Tb 0.925 0.925 0.775
3 Sm 0.345 0.345 0.034
4 Sm 0.500 0.500 0.500
5 Sm 0.655 0.655 0.966
6 Tl 0.215 0.215 0.646
7 Tl 0.785 0.785 0.354

Calculated values
Its space group is No. 12. For the calculated volume, the calculation gives 30.3 Å³/atom.

The calculated energies rank the structures as follows, beginning with the most stable: ii, i.

i | Tb4SmTl2: relaxed, PBE-GGA.

Cell lengths 10.635, 10.635, 10.635 Å; angles 28.20, 28.20, 28.20 degrees
Positions (direct):
1 Tb 0.113 0.113 0.113
2 Tb 0.293 0.293 0.293
3 Tb 0.707 0.707 0.707
4 Tb 0.887 0.887 0.887
5 Sm 0.500 0.500 0.500
6 Tl 0.398 0.398 0.398
7 Tl 0.602 0.602 0.602

Calculated values
Its space group is No. 166. For the calculated volume, the calculation gives 33.9 Å³/atom.

ii | Tb4SmTl2: relaxed, PBE-GGA.

Cell lengths 8.812, 8.812, 9.855 Å; angles 105.91, 105.91, 36.05 degrees
Positions (direct):
1 Tb 0.034 0.034 0.188
2 Tb 0.258 0.258 0.419
3 Tb 0.298 0.298 0.808
4 Tb 0.361 0.361 0.175
5 Tb 0.639 0.639 0.825
6 Tb 0.702 0.702 0.192
7 Tb 0.742 0.742 0.581
8 Tb 0.966 0.966 0.812
9 Sm 0.100 0.100 0.573
10 Sm 0.900 0.900 0.427
11 Tl 0.159 0.159 0.000
12 Tl 0.449 0.449 0.628
13 Tl 0.551 0.551 0.372
14 Tl 0.841 0.841 0.000

Calculated values
Its space group is No. 12. For the calculated volume, the calculation gives 30.8 Å³/atom.

The calculated energies rank the structures as follows, beginning with the most stable: ii, i.

i | TbSm4Tl2: relaxed, PBE-GGA.

Cell lengths 6.220, 6.290, 6.336 Å; angles 114.87, 94.02, 94.29 degrees
Positions (direct):
1 Tb 0.000 0.000 0.000
2 Sm 0.000 0.000 0.500
3 Sm 0.000 0.500 0.000
4 Sm 0.500 0.209 0.788
5 Sm 0.500 0.791 0.212
6 Tl 0.269 0.583 0.583
7 Tl 0.731 0.417 0.417

Calculated values
Its space group is No. 2. For the calculated volume, the calculation gives 31.8 Å³/atom.

ii | TbSm4Tl2: relaxed, PBE-GGA.

Cell lengths 9.510, 9.510, 9.510 Å; angles 33.99, 33.99, 33.99 degrees
Positions (direct):
1 Tb 0.000 0.000 0.000
2 Sm 0.234 0.234 0.234
3 Sm 0.369 0.369 0.369
4 Sm 0.631 0.631 0.631
5 Sm 0.766 0.766 0.766
6 Tl 0.116 0.116 0.116
7 Tl 0.884 0.884 0.884

Calculated values
Its space group is No. 166. For the calculated volume, the calculation gives 34.2 Å³/atom.

The calculated energies rank the structures as follows, beginning with the most stable: ii, i.

i | Tb5SmTl6: relaxed, PBE-GGA.

Cell lengths 9.361, 9.361, 5.397 Å; angles 106.69, 106.69, 120.31 degrees
Positions (direct):
1 Tb 0.000 0.000 0.000
2 Tb 0.167 0.833 0.500
3 Tb 0.335 0.665 0.000
4 Tb 0.665 0.335 0.000
5 Tb 0.833 0.167 0.500
6 Sm 0.500 0.500 0.500
7 Tl 0.080 0.416 0.248
8 Tl 0.246 0.246 0.746
9 Tl 0.416 0.080 0.248
10 Tl 0.584 0.920 0.752
11 Tl 0.754 0.754 0.254
12 Tl 0.920 0.584 0.752

Calculated values
Its space group is No. 12. For the calculated volume, the calculation gives 27.8 Å³/atom.

ii | Tb5SmTl6: relaxed, PBE-GGA.

Cell lengths 7.481, 7.481, 6.658 Å; angles 98.26, 98.26, 98.33 degrees
Positions (direct):
1 Tb 0.000 0.000 0.000
2 Tb 0.166 0.834 0.500
3 Tb 0.334 0.666 0.000
4 Tb 0.666 0.334 0.000
5 Tb 0.834 0.166 0.500
6 Sm 0.500 0.500 0.500
7 Tl 0.080 0.417 0.248
8 Tl 0.249 0.249 0.754
9 Tl 0.417 0.080 0.248
10 Tl 0.583 0.920 0.752
11 Tl 0.751 0.751 0.246
12 Tl 0.920 0.583 0.752

Calculated values
Its space group is No. 12. For the calculated volume, the calculation gives 30.0 Å³/atom.

The calculated energies rank the structures as follows, beginning with the most stable: i, ii.

i | Tb4Sm4Tl: relaxed, PBE-GGA.

Cell lengths 7.992, 7.992, 7.992 Å; angles 95.48, 95.48, 144.00 degrees
Positions (direct):
1 Tb 0.000 0.336 0.336
2 Tb 0.000 0.664 0.664
3 Tb 0.336 0.000 0.336
4 Tb 0.664 0.000 0.664
5 Sm 0.338 0.338 0.676
6 Sm 0.338 0.662 0.000
7 Sm 0.662 0.338 0.000
8 Sm 0.662 0.662 0.324
9 Tl 0.000 0.000 0.000

Calculated values
Its space group is No. 139. For the calculated volume, the calculation gives 31.7 Å³/atom.

ii | Tb4Sm4Tl: relaxed, PBE-GGA.

Cell lengths 6.322, 6.474, 7.707 Å; angles 74.17, 74.57, 87.26 degrees
Positions (direct):
1 Tb 0.128 0.163 0.281
2 Tb 0.315 0.665 0.918
3 Tb 0.685 0.335 0.082
4 Tb 0.872 0.837 0.719
5 Sm 0.184 0.195 0.822
6 Sm 0.281 0.610 0.397
7 Sm 0.719 0.390 0.603
8 Sm 0.816 0.805 0.178
9 Tl 0.500 0.000 0.500

Calculated values
Its space group is No. 2. For the calculated volume, the calculation gives 32.5 Å³/atom.

The calculated energies rank the structures as follows, beginning with the most stable: i, ii.

i | Tb3SmTl2: relaxed, PBE-GGA.

Cell lengths 8.692, 8.692, 9.330 Å; angles 118.04, 118.04, 36.22 degrees
Positions (direct):
1 Tb 0.059 0.059 0.215
2 Tb 0.307 0.307 0.506
3 Tb 0.383 0.383 0.956
4 Tb 0.617 0.617 0.044
5 Tb 0.693 0.693 0.494
6 Tb 0.941 0.941 0.785
7 Sm 0.130 0.130 0.672
8 Sm 0.870 0.870 0.328
9 Tl 0.223 0.223 0.093
10 Tl 0.480 0.480 0.327
11 Tl 0.520 0.520 0.673
12 Tl 0.777 0.777 0.907

Calculated values
Its space group is No. 12. For the calculated volume, the calculation gives 30.2 Å³/atom.

ii | Tb3SmTl2: relaxed, PBE-GGA.

Cell lengths 5.146, 10.077, 6.842 Å; angles 90.00, 90.00, 90.00 degrees
Positions (direct):
1 Tb 0.000 0.043 0.000
2 Tb 0.000 0.311 0.371
3 Tb 0.000 0.689 0.871
4 Tb 0.000 0.957 0.500
5 Tb 0.500 0.184 0.719
6 Tb 0.500 0.816 0.219
7 Sm 0.500 0.458 0.093
8 Sm 0.500 0.542 0.593
9 Tl 0.000 0.364 0.835
10 Tl 0.000 0.636 0.335
11 Tl 0.500 0.134 0.255
12 Tl 0.500 0.866 0.755

Calculated values
Its space group is No. 26. For the calculated volume, the calculation gives 29.6 Å³/atom.

The calculated energies rank the structures as follows, beginning with the most stable: ii, i.